*1*
A geometry-optimized Mg2NiF structure. Source: Alexandria via LeMat-Bulk, functional PBE with a Hubbard U.

**DOS at the Fermi energy**: 1.06 states/eV/f.u.
**SG**: No. 122

abc: 6.1073 6.1073 5.3759
angles: 55.39 55.39 90.00
Atoms (fractional coordinates):
1 Mg 0.8750 0.8206 0.7500
2 Mg 0.1794 0.6250 0.2500
3 Mg 0.3750 0.4294 0.7500
4 Mg 0.5706 0.1250 0.2500
5 F 0.2500 0.7500 0.5000
6 F 0.5000 0.5000 0.0000
7 Ni 0.0000 0.0000 0.0000
8 Ni 0.7500 0.2500 0.5000



*2*
A geometry-optimized Mg2NiF structure. Source: Alexandria via LeMat-Bulk, functional PBE with a Hubbard U.

**DOS at the Fermi energy**: 2.36 states/eV/f.u.
**SG**: No. 225

abc: 4.3705 4.3705 4.3705
angles: 60.00 60.00 60.00
Atoms (fractional coordinates):
1 F 0.0000 0.0000 0.0000
2 Mg 0.7500 0.7500 0.7500
3 Mg 0.2500 0.2500 0.2500
4 Ni 0.5000 0.5000 0.5000



We find *1* to be the most stable, with the next structure 0.341 eV/atom higher.



*1*
A geometry-optimized MgNi2F structure. Source: Alexandria via LeMat-Bulk, functional PBE with a Hubbard U.

**DOS at the Fermi energy**: 2.36 states/eV/f.u.
**SG**: No. 225

abc: 4.1976 4.1976 4.1976
angles: 60.00 60.00 60.00
Site moments in Bohr magnetons follow the coordinates.
Atoms (fractional coordinates):
1 Mg 0.5000 0.5000 0.5000  -0.03
2 Ni 0.7500 0.7500 0.7500  0.79
3 Ni 0.2500 0.2500 0.2500  0.79
4 F 0.0000 0.0000 0.0000  -0.07



*2*
A geometry-optimized MgNi2F structure. Source: Alexandria via LeMat-Bulk, functional PBE with a Hubbard U.

**DOS at the Fermi energy**: 1.08 states/eV/f.u.
**SG**: No. 122

abc: 3.2903 3.2903 10.4662
angles: 80.96 80.96 90.00
Site moments in Bohr magnetons follow the coordinates.
Atoms (fractional coordinates):
1 F 0.2500 0.7500 0.5000  0.01
2 F 0.5000 0.5000 0.0000  0.01
3 Ni 0.6255 0.6250 0.2500  -1.02
4 Ni 0.1245 0.1250 0.2500  -1.02
5 Ni 0.8750 0.3745 0.7500  -0.97
6 Ni 0.3750 0.8755 0.7500  -0.96
7 Mg 0.7500 0.2500 0.5000  0.01
8 Mg 0.0000 0.0000 0.0000  0.01



We find *2* to be the most stable, with the next structure 0.910 eV/atom higher.



*1*
A geometry-optimized MgNi2F2 structure. Source: Alexandria via LeMat-Bulk, functional PBE with a Hubbard U.

**DOS at the Fermi energy**: 0.64 states/eV/f.u.
**SG**: No. 127

abc: 5.1996 5.1996 4.8801
angles: 90.00 90.00 90.00
Site moments in Bohr magnetons follow the coordinates.
Atoms (fractional coordinates):
1 F 0.6823 0.8177 0.0000  0.01
2 F 0.3177 0.1823 0.0000  0.01
3 F 0.1823 0.6823 0.0000  0.01
4 F 0.8177 0.3177 0.0000  0.01
5 Mg 0.0000 0.0000 0.0000  0.00
6 Mg 0.5000 0.5000 0.0000  0.00
7 Ni 0.1818 0.6818 0.5000  1.01
8 Ni 0.8182 0.3182 0.5000  1.01
9 Ni 0.3182 0.1818 0.5000  1.00
10 Ni 0.6818 0.8182 0.5000  1.00



*2*
A geometry-optimized MgNi2F2 structure. Source: Alexandria via LeMat-Bulk, functional PBE with a Hubbard U.

**DOS at the Fermi energy**: 1.61 states/eV/f.u.
**SG**: No. 127

abc: 7.0111 7.0111 2.8881
angles: 90.00 90.00 90.00
Site moments in Bohr magnetons follow the coordinates.
Atoms (fractional coordinates):
1 F 0.7732 0.2732 0.5000  0.02
2 F 0.2268 0.7268 0.5000  0.02
3 F 0.7268 0.7732 0.5000  0.02
4 F 0.2732 0.2268 0.5000  0.02
5 Mg 0.0000 0.0000 0.0000  0.01
6 Mg 0.5000 0.5000 0.0000  0.01
7 Ni 0.8759 0.6241 0.0000  0.99
8 Ni 0.6241 0.1241 0.0000  1.00
9 Ni 0.1241 0.3759 0.0000  0.99
10 Ni 0.3759 0.8759 0.0000  1.00



We find *1* to be the most stable, with the next structure 0.737 eV/atom higher.



*1*
A geometry-optimized MgNi2F2 structure. Source: Alexandria via LeMat-Bulk, functional PBE with a Hubbard U.

**DOS at the Fermi energy**: 0.00 states/eV/f.u.
**SG**: No. 139

abc: 3.6371 3.6371 5.4242
angles: 70.41 70.41 90.00
Site moments in Bohr magnetons follow the coordinates.
Atoms (fractional coordinates):
1 F 0.2500 0.7500 0.5000  0.01
2 F 0.7500 0.2500 0.5000  0.01
3 Ni 0.6148 0.6148 0.7704  1.22
4 Ni 0.3852 0.3852 0.2296  1.22
5 Mg 0.0000 0.0000 0.0000  -0.05



*2*
A geometry-optimized MgNi2F2 structure. Source: Alexandria via LeMat-Bulk, functional PBE with a Hubbard U.

**DOS at the Fermi energy**: 2.89 states/eV/f.u.
**SG**: No. 139

abc: 3.0302 3.0302 8.4876
angles: 79.72 79.72 90.00
Site moments in Bohr magnetons follow the coordinates.
Atoms (fractional coordinates):
1 Ni 0.7500 0.2500 0.5000  1.01
2 Ni 0.2500 0.7500 0.5000  1.01
3 F 0.5681 0.5681 0.8638  0.00
4 F 0.4319 0.4319 0.1362  0.00
5 Mg 0.0000 0.0000 0.0000  0.00



We find *1* to be the most stable, with the next structure 0.055 eV/atom higher.



*1*
A geometry-optimized Mg3NiF structure. Source: Alexandria via LeMat-Bulk, functional PBE with a Hubbard U.

**DOS at the Fermi energy**: 1.15 states/eV/f.u.
**SG**: No. 221

abc: 4.2721 4.2721 4.2721
angles: 90.00 90.00 90.00
Atoms (fractional coordinates):
1 F 0.0000 0.0000 0.0000
2 Mg 0.0000 0.0000 0.5000
3 Mg 0.5000 0.0000 0.0000
4 Mg 0.0000 0.5000 0.0000
5 Ni 0.5000 0.5000 0.5000



*2*
A geometry-optimized Mg3NiF structure. Source: Alexandria via LeMat-Bulk, functional PBE with a Hubbard U.

**DOS at the Fermi energy**: 1.30 states/eV/f.u.
**SG**: No. 221

abc: 4.7397 4.7397 4.7397
angles: 90.00 90.00 90.00
Atoms (fractional coordinates):
1 Mg 0.0000 0.5000 0.0000
2 Mg 0.5000 0.0000 0.0000
3 Mg 0.0000 0.0000 0.5000
4 F 0.5000 0.5000 0.5000
5 Ni 0.0000 0.0000 0.0000



We find *1* to be the most stable, with the next structure 0.371 eV/atom higher.



*1*
A geometry-optimized MgNiF4 structure. Source: Alexandria via LeMat-Bulk, functional PBE with a Hubbard U.

**DOS at the Fermi energy**: 0.00 states/eV/f.u.
**SG**: No. 109

abc: 5.6287 5.6287 5.6287
angles: 107.65 107.65 113.18
Site moments in Bohr magnetons follow the coordinates.
Atoms (fractional coordinates):
1 F 0.2478 0.5502 0.3024  0.02
2 F 0.8065 0.0021 0.8044  0.04
3 F 0.1977 0.0021 0.1956  0.04
4 F 0.7521 0.0565 0.3044  0.04
5 F 0.3002 0.4978 0.8024  0.02
6 F 0.6954 0.4978 0.1976  0.02
7 F 0.7521 0.4477 0.6956  0.04
8 F 0.2478 0.9454 0.6976  0.02
9 Mg 0.0017 0.5017 0.5000  0.00
10 Mg 0.2517 0.2517 0.0000  0.00
11 Ni 0.7484 0.7484 0.0000  1.83
12 Ni 0.4984 0.9984 0.5000  1.83



*2*
A geometry-optimized MgNiF4 structure. Source: Alexandria via LeMat-Bulk, functional PBE with a Hubbard U.

**DOS at the Fermi energy**: 0.00 states/eV/f.u.
**SG**: No. 140

abc: 6.1678 6.1678 6.1678
angles: 131.58 131.58 70.89
Site moments in Bohr magnetons follow the coordinates.
Atoms (fractional coordinates):
1 Ni 0.5000 0.0000 0.5000  1.83
2 Ni 0.0000 0.5000 0.5000  1.83
3 F 0.0756 0.1627 0.5000  0.03
4 F 0.4244 0.9244 0.0871  0.03
5 F 0.8373 0.3373 0.9129  0.03
6 F 0.3373 0.4244 0.5000  0.03
7 F 0.1627 0.6627 0.0871  0.03
8 F 0.5756 0.0756 0.9129  0.03
9 F 0.9244 0.8373 0.5000  0.03
10 F 0.6627 0.5756 0.5000  0.03
11 Mg 0.2500 0.2500 0.0000  0.00
12 Mg 0.7500 0.7500 0.0000  0.00



We find *1* to be the most stable, with the next structure 0.161 eV/atom higher.



*1*
A geometry-optimized MgNiF5 structure. Source: Alexandria via LeMat-Bulk, functional PBE with a Hubbard U.

**DOS at the Fermi energy**: 0.00 states/eV/f.u.
**SG**: No. 15

abc: 5.2103 5.2103 7.3911
angles: 68.95 68.95 71.35
Site moments in Bohr magnetons follow the coordinates.
Atoms (fractional coordinates):
1 F 0.7886 0.7250 0.1316  0.14
2 F 0.2114 0.2750 0.8684  0.14
3 F 0.2750 0.2114 0.3684  0.14
4 F 0.8791 0.1209 0.2500  0.12
5 F 0.6768 0.2831 0.9557  0.13
6 F 0.7250 0.7886 0.6316  0.14
7 F 0.1209 0.8791 0.7500  0.12
8 F 0.3232 0.7169 0.0443  0.13
9 F 0.2831 0.6768 0.4557  0.13
10 F 0.7169 0.3232 0.5443  0.13
11 Ni 0.0000 0.0000 0.0000  2.32
12 Ni 0.0000 0.0000 0.5000  2.32
13 Mg 0.4652 0.5348 0.7500  0.01
14 Mg 0.5348 0.4652 0.2500  0.01



*2*
A geometry-optimized MgNiF5 structure. Source: Alexandria via LeMat-Bulk, functional PBE with a Hubbard U.

**DOS at the Fermi energy**: 0.00 states/eV/f.u.
**SG**: No. 14

abc: 9.5661 5.0429 7.4052
angles: 70.02 90.00 90.00
Site moments in Bohr magnetons follow the coordinates.
Atoms (fractional coordinates):
1 F 0.0984 0.1310 0.2672  0.16
2 F 0.6749 0.1630 0.8570  0.12
3 F 0.8251 0.1630 0.3570  0.12
4 F 0.1749 0.8370 0.6430  0.12
5 F 0.8825 0.4120 0.5984  0.13
6 F 0.8918 0.3584 0.0077  0.12
7 F 0.4016 0.1310 0.7672  0.16
8 F 0.1175 0.5880 0.4016  0.13
9 F 0.3603 0.2010 0.3431  0.13
10 F 0.9016 0.8690 0.7328  0.16
11 F 0.3918 0.6416 0.4923  0.12
12 F 0.6175 0.4120 0.0984  0.13
13 F 0.6397 0.7990 0.6569  0.13
14 F 0.3825 0.5880 0.9016  0.13
15 F 0.1397 0.2010 0.8431  0.13
16 F 0.5984 0.8690 0.2328  0.16
17 F 0.3251 0.8370 0.1430  0.12
18 F 0.1082 0.6416 0.9923  0.12
19 F 0.8603 0.7990 0.1569  0.13
20 F 0.6082 0.3584 0.5077  0.12
21 Mg 0.5151 0.4704 0.7341  0.01
22 Mg 0.9849 0.4704 0.2341  0.01
23 Mg 0.0151 0.5296 0.7659  0.01
24 Mg 0.4849 0.5296 0.2659  0.01
25 Ni 0.7430 0.1091 0.1216  2.32
26 Ni 0.2570 0.8909 0.8784  2.32
27 Ni 0.7570 0.1091 0.6216  2.32
28 Ni 0.2430 0.8909 0.3784  2.32



*3*
A geometry-optimized MgNiF5 structure. Source: Alexandria via LeMat-Bulk, functional PBE with a Hubbard U.

**DOS at the Fermi energy**: 0.00 states/eV/f.u.
**SG**: No. 15

abc: 5.2233 5.2233 7.3860
angles: 69.17 69.17 71.88
Site moments in Bohr magnetons follow the coordinates.
Atoms (fractional coordinates):
1 Mg 0.0000 0.0000 0.5000  0.01
2 Mg 0.0000 0.0000 0.0000  0.01
3 F 0.1366 0.8634 0.2500  0.07
4 F 0.7875 0.6928 0.6455  0.15
5 F 0.6928 0.7875 0.1455  0.15
6 F 0.2125 0.3072 0.3545  0.15
7 F 0.7135 0.3341 0.0592  0.13
8 F 0.6659 0.2865 0.4408  0.13
9 F 0.2865 0.6659 0.9408  0.13
10 F 0.8634 0.1366 0.7500  0.07
11 F 0.3341 0.7135 0.5592  0.13
12 F 0.3072 0.2125 0.8545  0.15
13 Ni 0.5290 0.4710 0.7500  2.31
14 Ni 0.4710 0.5290 0.2500  2.31



We find *1* to be the most stable, with the next structure 0.009 eV/atom higher.